This record from Alexandria via LeMat-Bulk describes Li2MgBeAu4 after structural relaxation. The functional is PBE.

It has space group R-3m (No. 166, hexagonal axes), with a = 4.4285 Å, b = 4.4285 Å, c = 21.6128 Å, α = 90.00°, β = 90.00° and γ = 120.00°. The inequivalent atoms are Li at (0.0000, 0.0000, 0.2470), Mg at (0.0000, 0.0000, 0.5000), Be at (0.0000, 0.0000, 0.0000), Au at (0.0000, 0.0000, 0.1135) and Au at (0.0000, 0.0000, 0.3685).

The energy is -3.2293 eV/atom. The value obtained for the mass density is 11.33 g/cm³.